Entry 1:
# Hf6AlBi3, optimized geometry, DFT PBE
data_Hf6AlBi3
_space_group_name_H-M_alt 'C m c 21'
_space_group_IT_number 36
_cell_length_a 8.9755
_cell_length_b 14.6309
_cell_length_c 7.4698
_cell_angle_alpha 90.00
_cell_angle_beta 90.00
_cell_angle_gamma 90.00
loop_
_space_group_symop_operation_xyz
'x,y,z'
'-x,-y,z+1/2'
'-x,y,z'
'x,-y,z+1/2'
'x+1/2,y+1/2,z'
'-x+1/2,-y+1/2,z+1/2'
'-x+1/2,y+1/2,z'
'x+1/2,-y+1/2,z+1/2'
loop_
_atom_site_label
_atom_site_fract_x
_atom_site_fract_y
_atom_site_fract_z
Hf1 0.0000 0.0543 0.0000
Hf2 0.0000 0.2551 0.6980
Hf3 0.2042 0.4103 0.7913
Hf4 0.2132 0.2217 0.9934
Al1 0.0000 0.1812 0.2996
Bi1 0.0000 0.4225 0.4617
Bi2 0.2097 0.0949 0.6697
# N(E_F): 6.79 states/eV/f.u.
# ΔE_f: -3 meV per atom
# E: -7.51 eV per atom
# Volume: 24.5 Å³/atom

---

Entry 2:
# HfAl2Bi, optimized geometry, DFT PBE
data_HfAl2Bi
_space_group_name_H-M_alt 'I -4 2 d'
_space_group_IT_number 122
_space_group_name_Hall 'I -4 2bw'
_cell_length_a 7.9765
_cell_length_b 7.9765
_cell_length_c 5.8907
_cell_angle_alpha 90.00
_cell_angle_beta 90.00
_cell_angle_gamma 90.00
loop_
_atom_site_label
_atom_site_fract_x
_atom_site_fract_y
_atom_site_fract_z
Hf1 0.0000 0.0000 0.0000
Al1 0.2456 0.2500 0.1250
Bi1 0.0000 0.0000 0.5000
# N(E_F): 3.30 states/eV/f.u.
# ΔE_f: 319 meV per atom
# E: -5.01 eV per atom
# Volume: 23.4 Å³/atom

---

Entry 3:
# Hf3AlBi, optimized geometry, DFT PBE
data_Hf3AlBi
_space_group_name_H-M_alt 'P m -3 m'
_space_group_IT_number 221
_space_group_name_Hall '-P 4 2 3'
_cell_length_a 5.0067
_cell_length_b 5.0067
_cell_length_c 5.0067
_cell_angle_alpha 90.00
_cell_angle_beta 90.00
_cell_angle_gamma 90.00
loop_
_atom_site_label
_atom_site_fract_x
_atom_site_fract_y
_atom_site_fract_z
Hf1 0.0000 0.0000 0.5000
Al1 0.0000 0.0000 0.0000
Bi1 0.5000 0.5000 0.5000
# N(E_F): 5.27 states/eV/f.u.
# ΔE_f: 548 meV per atom
# E: -6.95 eV per atom
# Volume: 25.1 Å³/atom

---

Entry 4:
# Hf8Al2Bi, optimized geometry, DFT PBE
data_Hf8Al2Bi
_space_group_name_H-M_alt 'C 1 2/m 1'
_space_group_IT_number 12
_cell_length_a 7.8593
_cell_length_b 12.7681
_cell_length_c 5.3064
_cell_angle_alpha 90.00
_cell_angle_beta 112.80
_cell_angle_gamma 90.00
loop_
_space_group_symop_operation_xyz
'x,y,z'
'-x,-y,-z'
'-x,y,-z'
'x,-y,z'
'x+1/2,y+1/2,z'
'-x+1/2,-y+1/2,-z'
'-x+1/2,y+1/2,-z'
'x+1/2,-y+1/2,z'
loop_
_atom_site_label
_atom_site_fract_x
_atom_site_fract_y
_atom_site_fract_z
Hf1 0.0000 0.2368 0.0000
Hf2 0.0819 0.5000 0.7991
Hf3 0.2044 0.1190 0.6226
Al1 0.0000 0.3062 0.5000
Bi1 0.0000 0.0000 0.0000
# N(E_F): 9.00 states/eV/f.u.
# ΔE_f: -15 meV per atom
# E: -8.29 eV per atom
# Volume: 22.3 Å³/atom

---

Entry 5:
# Hf2AlBi, optimized geometry, DFT PBE
data_Hf2AlBi
_space_group_name_H-M_alt 'I -4 2 d'
_space_group_IT_number 122
_space_group_name_Hall 'I -4 2bw'
_cell_length_a 4.2452
_cell_length_b 4.2452
_cell_length_c 21.2034
_cell_angle_alpha 90.00
_cell_angle_beta 90.00
_cell_angle_gamma 90.00
loop_
_atom_site_label
_atom_site_fract_x
_atom_site_fract_y
_atom_site_fract_z
Hf1 0.2452 0.2500 0.1250
Al1 0.0000 0.0000 0.0000
Bi1 0.0000 0.0000 0.5000
# N(E_F): 2.21 states/eV/f.u.
# ΔE_f: 298 meV per atom
# E: -6.58 eV per atom
# Volume: 23.9 Å³/atom

---

Entry 6:
# HfAl3Bi, optimized geometry, DFT PBE
data_HfAl3Bi
_space_group_name_H-M_alt 'P m -3 m'
_space_group_IT_number 221
_space_group_name_Hall '-P 4 2 3'
_cell_length_a 5.2428
_cell_length_b 5.2428
_cell_length_c 5.2428
_cell_angle_alpha 90.00
_cell_angle_beta 90.00
_cell_angle_gamma 90.00
loop_
_atom_site_label
_atom_site_fract_x
_atom_site_fract_y
_atom_site_fract_z
Hf1 0.0000 0.0000 0.0000
Al1 0.0000 0.0000 0.5000
Bi1 0.5000 0.5000 0.5000
# N(E_F): 5.45 states/eV/f.u.
# ΔE_f: 870 meV per atom
# E: -4.14 eV per atom
# Volume: 28.8 Å³/atom

---

Entry 7:
# Hf2AlBi, optimized geometry, DFT PBE
data_Hf2AlBi
_space_group_name_H-M_alt 'F m -3 m'
_space_group_IT_number 225
_space_group_name_Hall '-F 4 2 3'
_cell_length_a 7.0466
_cell_length_b 7.0466
_cell_length_c 7.0466
_cell_angle_alpha 90.00
_cell_angle_beta 90.00
_cell_angle_gamma 90.00
loop_
_atom_site_label
_atom_site_fract_x
_atom_site_fract_y
_atom_site_fract_z
Hf1 0.2500 0.2500 0.2500
Al1 0.0000 0.0000 0.0000
Bi1 0.0000 0.0000 0.5000
# N(E_F): 3.61 states/eV/f.u.
# ΔE_f: 103 meV per atom
# E: -6.78 eV per atom
# Volume: 21.9 Å³/atom

---

Entry 8:
# Hf3AlBi, optimized geometry, DFT PBE
data_Hf3AlBi
_space_group_name_H-M_alt 'P m -3 m'
_space_group_IT_number 221
_space_group_name_Hall '-P 4 2 3'
_cell_length_a 5.3059
_cell_length_b 5.3059
_cell_length_c 5.3059
_cell_angle_alpha 90.00
_cell_angle_beta 90.00
_cell_angle_gamma 90.00
loop_
_atom_site_label
_atom_site_fract_x
_atom_site_fract_y
_atom_site_fract_z
Hf1 0.0000 0.0000 0.5000
Al1 0.5000 0.5000 0.5000
Bi1 0.0000 0.0000 0.0000
# N(E_F): 4.73 states/eV/f.u.
# ΔE_f: 1375 meV per atom
# E: -6.12 eV per atom
# Volume: 29.9 Å³/atom

---

Entry 9:
# Hf2Al2Bi, optimized geometry, DFT PBE
data_Hf2Al2Bi
_space_group_name_H-M_alt 'P 4/m b m'
_space_group_IT_number 127
_space_group_name_Hall '-P 4 2ab'
_cell_length_a 7.4102
_cell_length_b 7.4102
_cell_length_c 3.8404
_cell_angle_alpha 90.00
_cell_angle_beta 90.00
_cell_angle_gamma 90.00
loop_
_atom_site_label
_atom_site_fract_x
_atom_site_fract_y
_atom_site_fract_z
Hf1 0.1778 0.3222 0.0000
Al1 0.1186 0.6186 0.5000
Bi1 0.0000 0.0000 0.5000
# N(E_F): 3.76 states/eV/f.u.
# ΔE_f: -44 meV per atom
# E: -6.30 eV per atom
# Volume: 21.1 Å³/atom

---

Entry 10:
# Hf8AlBi2, optimized geometry, DFT PBE
data_Hf8AlBi2
_space_group_name_H-M_alt 'C 1 2/m 1'
_space_group_IT_number 12
_cell_length_a 7.4743
_cell_length_b 13.6570
_cell_length_c 5.4328
_cell_angle_alpha 90.00
_cell_angle_beta 113.19
_cell_angle_gamma 90.00
loop_
_space_group_symop_operation_xyz
'x,y,z'
'-x,-y,-z'
'-x,y,-z'
'x,-y,z'
'x+1/2,y+1/2,z'
'-x+1/2,-y+1/2,-z'
'-x+1/2,y+1/2,-z'
'x+1/2,-y+1/2,z'
loop_
_atom_site_label
_atom_site_fract_x
_atom_site_fract_y
_atom_site_fract_z
Hf1 0.0000 0.2125 0.0000
Hf2 0.0981 0.5000 0.7972
Hf3 0.2068 0.1042 0.6769
Al1 0.0000 0.0000 0.0000
Bi1 0.0000 0.3010 0.5000
# N(E_F): 8.27 states/eV/f.u.
# ΔE_f: 83 meV per atom
# E: -8.20 eV per atom
# Volume: 23.2 Å³/atom

---

Entry 11:
# Hf2Al2Bi, optimized geometry, DFT PBE
data_Hf2Al2Bi
_space_group_name_H-M_alt 'P 4/m b m'
_space_group_IT_number 127
_space_group_name_Hall '-P 4 2ab'
_cell_length_a 7.4288
_cell_length_b 7.4288
_cell_length_c 4.0553
_cell_angle_alpha 90.00
_cell_angle_beta 90.00
_cell_angle_gamma 90.00
loop_
_atom_site_label
_atom_site_fract_x
_atom_site_fract_y
_atom_site_fract_z
Hf1 0.1516 0.3484 0.0000
Al1 0.1379 0.6379 0.5000
Bi1 0.0000 0.0000 0.0000
# N(E_F): 2.16 states/eV/f.u.
# ΔE_f: -31 meV per atom
# E: -6.29 eV per atom
# Volume: 22.4 Å³/atom

---

Entry 12:
# NaHfAlBi2, optimized geometry, DFT PBE
data_NaHfAlBi2
_space_group_name_H-M_alt 'P 4/m m m'
_space_group_IT_number 123
_space_group_name_Hall '-P 4 2'
_cell_length_a 5.5529
_cell_length_b 5.5529
_cell_length_c 5.2039
_cell_angle_alpha 90.00
_cell_angle_beta 90.00
_cell_angle_gamma 90.00
loop_
_atom_site_label
_atom_site_fract_x
_atom_site_fract_y
_atom_site_fract_z
Na1 0.0000 0.0000 0.0000
Hf1 0.5000 0.5000 0.0000
Al1 0.5000 0.5000 0.5000
Bi1 0.0000 0.5000 0.5000
# N(E_F): 3.35 states/eV/f.u.
# ΔE_f: 573 meV per atom
# E: -3.98 eV per atom
# Volume: 32.1 Å³/atom

---

Entry 13:
# HfAlBi2P, optimized geometry, DFT PBE
data_HfAlBi2P
_space_group_name_H-M_alt 'P 4/m m m'
_space_group_IT_number 123
_space_group_name_Hall '-P 4 2'
_cell_length_a 5.4373
_cell_length_b 5.4373
_cell_length_c 4.4912
_cell_angle_alpha 90.00
_cell_angle_beta 90.00
_cell_angle_gamma 90.00
loop_
_atom_site_label
_atom_site_fract_x
_atom_site_fract_y
_atom_site_fract_z
Hf1 0.0000 0.0000 0.0000
Al1 0.5000 0.5000 0.0000
Bi1 0.0000 0.5000 0.5000
P1 0.5000 0.5000 0.5000
# N(E_F): 2.89 states/eV/f.u.
# ΔE_f: 610 meV per atom
# E: -4.76 eV per atom
# Volume: 26.6 Å³/atom

---

Entry 14:
# Hf2AlBiRh, optimized geometry, DFT PBE
data_Hf2AlBiRh
_space_group_name_H-M_alt 'P 4/m m m'
_space_group_IT_number 123
_space_group_name_Hall '-P 4 2'
_cell_length_a 4.9572
_cell_length_b 4.9572
_cell_length_c 5.0589
_cell_angle_alpha 90.00
_cell_angle_beta 90.00
_cell_angle_gamma 90.00
loop_
_atom_site_label
_atom_site_fract_x
_atom_site_fract_y
_atom_site_fract_z
Hf1 0.0000 0.5000 0.0000
Al1 0.0000 0.0000 0.0000
Bi1 0.0000 0.0000 0.5000
Rh1 0.5000 0.5000 0.5000
# N(E_F): 5.97 states/eV/f.u.
# ΔE_f: 1054 meV per atom
# E: -5.92 eV per atom
# Volume: 24.9 Å³/atom

---

Entry 15:
# HfAlBi2Ru, optimized geometry, DFT PBE
data_HfAlBi2Ru
_space_group_name_H-M_alt 'P 4/m m m'
_space_group_IT_number 123
_space_group_name_Hall '-P 4 2'
_cell_length_a 5.1646
_cell_length_b 5.1646
_cell_length_c 5.0363
_cell_angle_alpha 90.00
_cell_angle_beta 90.00
_cell_angle_gamma 90.00
loop_
_atom_site_label
_atom_site_fract_x
_atom_site_fract_y
_atom_site_fract_z
Hf1 0.0000 0.0000 0.0000
Al1 0.0000 0.0000 0.5000
Bi1 0.0000 0.5000 0.5000
Ru1 0.5000 0.5000 0.0000
# N(E_F): 6.43 states/eV/f.u.
# ΔE_f: 1349 meV per atom
# E: -4.80 eV per atom
# Volume: 26.9 Å³/atom

---

Entry 16:
# Hf2AlTcBi, optimized geometry, DFT PBE
data_Hf2AlTcBi
_space_group_name_H-M_alt 'P 4/m m m'
_space_group_IT_number 123
_space_group_name_Hall '-P 4 2'
_cell_length_a 5.3388
_cell_length_b 5.3388
_cell_length_c 5.0206
_cell_angle_alpha 90.00
_cell_angle_beta 90.00
_cell_angle_gamma 90.00
loop_
_atom_site_label
_atom_site_fract_x
_atom_site_fract_y
_atom_site_fract_z
Hf1 0.0000 0.5000 0.0000
Al1 0.0000 0.0000 0.5000
Tc1 0.5000 0.5000 0.5000
Bi1 0.0000 0.0000 0.0000
# N(E_F): 4.46 states/eV/f.u.
# ΔE_f: 1856 meV per atom
# E: -5.72 eV per atom
# Volume: 28.6 Å³/atom

---

Entry 17:
# HfAlBi2Te, optimized geometry, DFT PBE
data_HfAlBi2Te
_space_group_name_H-M_alt 'P 4/m m m'
_space_group_IT_number 123
_space_group_name_Hall '-P 4 2'
_cell_length_a 5.6238
_cell_length_b 5.6238
_cell_length_c 5.4075
_cell_angle_alpha 90.00
_cell_angle_beta 90.00
_cell_angle_gamma 90.00
loop_
_atom_site_label
_atom_site_fract_x
_atom_site_fract_y
_atom_site_fract_z
Hf1 0.0000 0.0000 0.0000
Al1 0.0000 0.0000 0.5000
Bi1 0.0000 0.5000 0.0000
Te1 0.5000 0.5000 0.5000
# N(E_F): 5.74 states/eV/f.u.
# E: -4.40 eV per atom
# Raw formation energy: 0.518 eV/atom
# Volume: 34.2 Å³/atom

---

Entry 18:
# HfAl2BiTe, optimized geometry, DFT PBE
data_HfAl2BiTe
_space_group_name_H-M_alt 'P 4/m m m'
_space_group_IT_number 123
_space_group_name_Hall '-P 4 2'
_cell_length_a 5.1376
_cell_length_b 5.1376
_cell_length_c 5.8268
_cell_angle_alpha 90.00
_cell_angle_beta 90.00
_cell_angle_gamma 90.00
loop_
_atom_site_label
_atom_site_fract_x
_atom_site_fract_y
_atom_site_fract_z
Hf1 0.0000 0.0000 0.0000
Al1 0.0000 0.5000 0.5000
Bi1 0.5000 0.5000 0.0000
Te1 0.5000 0.5000 0.5000
# N(E_F): 5.66 states/eV/f.u.
# E: -3.75 eV per atom
# Raw formation energy: 1.146 eV/atom
# Volume: 30.8 Å³/atom

---

Entry 19:
# YHfAl2Bi, optimized geometry, DFT PBE
data_YHfAl2Bi
_space_group_name_H-M_alt 'P 4/m m m'
_space_group_IT_number 123
_space_group_name_Hall '-P 4 2'
_cell_length_a 5.2938
_cell_length_b 5.2938
_cell_length_c 5.4947
_cell_angle_alpha 90.00
_cell_angle_beta 90.00
_cell_angle_gamma 90.00
loop_
_atom_site_label
_atom_site_fract_x
_atom_site_fract_y
_atom_site_fract_z
Y1 0.0000 0.0000 0.0000
Hf1 0.5000 0.5000 0.0000
Al1 0.0000 0.5000 0.5000
Bi1 0.5000 0.5000 0.5000
# N(E_F): 6.12 states/eV/f.u.
# ΔE_f: 964 meV per atom
# E: -4.59 eV per atom
# Volume: 30.8 Å³/atom

---

Entry 20:
# Al2HgBi, optimized geometry, DFT PBE
data_Al2HgBi
_space_group_name_H-M_alt 'I -4 2 d'
_space_group_IT_number 122
_space_group_name_Hall 'I -4 2bw'
_cell_length_a 6.7141
_cell_length_b 6.7141
_cell_length_c 10.9618
_cell_angle_alpha 90.00
_cell_angle_beta 90.00
_cell_angle_gamma 90.00
loop_
_atom_site_label
_atom_site_fract_x
_atom_site_fract_y
_atom_site_fract_z
Al1 0.2359 0.2500 0.1250
Hg1 0.0000 0.0000 0.0000
Bi1 0.0000 0.0000 0.5000
# N(E_F): 1.59 states/eV/f.u.
# ΔE_f: 320 meV per atom
# E: -2.60 eV per atom
# Volume: 30.9 Å³/atom

---

Entry 21:
# AlHg2Bi, optimized geometry, DFT PBE
data_AlHg2Bi
_space_group_name_H-M_alt 'P 4/m m m'
_space_group_IT_number 123
_space_group_name_Hall '-P 4 2'
_cell_length_a 3.3229
_cell_length_b 3.3229
_cell_length_c 8.9434
_cell_angle_alpha 90.00
_cell_angle_beta 90.00
_cell_angle_gamma 90.00
loop_
_atom_site_label
_atom_site_fract_x
_atom_site_fract_y
_atom_site_fract_z
Al1 0.0000 0.0000 0.0000
Hg1 0.5000 0.5000 0.2139
Bi1 0.0000 0.0000 0.5000
# N(E_F): 1.61 states/eV/f.u.
# ΔE_f: 152 meV per atom
# E: -1.91 eV per atom
# Volume: 24.7 Å³/atom

---

Entry 22:
# AlHg2Bi, optimized geometry, DFT PBE
data_AlHg2Bi
_space_group_name_H-M_alt 'R 3 m'
_space_group_IT_number 160
_space_group_name_Hall 'R 3 -2"'
_cell_length_a 3.5926
_cell_length_b 3.5926
_cell_length_c 27.1337
_cell_angle_alpha 90.00
_cell_angle_beta 90.00
_cell_angle_gamma 120.00
loop_
_atom_site_label
_atom_site_fract_x
_atom_site_fract_y
_atom_site_fract_z
Al1 0.0000 0.0000 0.0000
Hg1 0.0000 0.0000 0.4049
Hg2 0.0000 0.0000 0.5960
Bi1 0.0000 0.0000 0.8342
# N(E_F): 1.80 states/eV/f.u.
# ΔE_f: 134 meV per atom
# E: -1.92 eV per atom
# Volume: 25.3 Å³/atom

---

Entry 23:
# Al2HgBi, optimized geometry, DFT PBE
data_Al2HgBi
_space_group_name_H-M_alt 'F m -3 m'
_space_group_IT_number 225
_space_group_name_Hall '-F 4 2 3'
_cell_length_a 7.2976
_cell_length_b 7.2976
_cell_length_c 7.2976
_cell_angle_alpha 90.00
_cell_angle_beta 90.00
_cell_angle_gamma 90.00
loop_
_atom_site_label
_atom_site_fract_x
_atom_site_fract_y
_atom_site_fract_z
Al1 0.2500 0.2500 0.2500
Hg1 0.0000 0.0000 0.0000
Bi1 0.0000 0.0000 0.5000
# N(E_F): 1.94 states/eV/f.u.
# ΔE_f: 243 meV per atom
# E: -2.67 eV per atom
# Volume: 24.3 Å³/atom

---

Entry 24:
# AlHg3Bi, optimized geometry, DFT PBE
data_AlHg3Bi
_space_group_name_H-M_alt 'P m -3 m'
_space_group_IT_number 221
_space_group_name_Hall '-P 4 2 3'
_cell_length_a 5.2368
_cell_length_b 5.2368
_cell_length_c 5.2368
_cell_angle_alpha 90.00
_cell_angle_beta 90.00
_cell_angle_gamma 90.00
loop_
_atom_site_label
_atom_site_fract_x
_atom_site_fract_y
_atom_site_fract_z
Al1 0.0000 0.0000 0.0000
Hg1 0.0000 0.0000 0.5000
Bi1 0.5000 0.5000 0.5000
# N(E_F): 3.91 states/eV/f.u.
# ΔE_f: 289 meV per atom
# E: -1.42 eV per atom
# Volume: 28.7 Å³/atom

---

Entry 25:
# AlHg2Bi, optimized geometry, DFT PBE
data_AlHg2Bi
_space_group_name_H-M_alt 'R -3 m'
_space_group_IT_number 166
_space_group_name_Hall '-R 3 2"'
_cell_length_a 3.3417
_cell_length_b 3.3417
_cell_length_c 33.0544
_cell_angle_alpha 90.00
_cell_angle_beta 90.00
_cell_angle_gamma 120.00
loop_
_atom_site_label
_atom_site_fract_x
_atom_site_fract_y
_atom_site_fract_z
Al1 0.0000 0.0000 0.0000
Hg1 0.0000 0.0000 0.0813
Bi1 0.0000 0.0000 0.5000
# N(E_F): 1.97 states/eV/f.u.
# ΔE_f: 206 meV per atom
# E: -1.85 eV per atom
# Volume: 26.6 Å³/atom

---

Entry 26:
# AlHg3Bi, optimized geometry, DFT PBE
data_AlHg3Bi
_space_group_name_H-M_alt 'P m -3 m'
_space_group_IT_number 221
_space_group_name_Hall '-P 4 2 3'
_cell_length_a 5.8437
_cell_length_b 5.8437
_cell_length_c 5.8437
_cell_angle_alpha 90.00
_cell_angle_beta 90.00
_cell_angle_gamma 90.00
loop_
_atom_site_label
_atom_site_fract_x
_atom_site_fract_y
_atom_site_fract_z
Al1 0.0000 0.0000 0.0000
Hg1 0.0000 0.5000 0.5000
Bi1 0.5000 0.5000 0.5000
# N(E_F): 3.73 states/eV/f.u.
# ΔE_f: 579 meV per atom
# E: -1.13 eV per atom
# Volume: 39.9 Å³/atom